# 1
Computed, not measured: crystalline Cs3SmSb2O6 at its relaxed geometry at the PBE level of DFT.

Cell: 6.394 6.394 8.013 Å, 90.00 90.00 120.00°
Positions (direct):
Sb1 0.667 0.333 0.782
Sb2 0.333 0.667 0.218
Cs1 0.333 0.667 0.672
Cs2 0.000 0.000 0.000
Cs3 0.667 0.333 0.328
O1 0.175 0.349 0.329
O2 0.825 0.175 0.671
O3 0.651 0.825 0.329
O4 0.349 0.175 0.671
O5 0.175 0.825 0.329
O6 0.825 0.651 0.671
Sm1 0.000 0.000 0.500

For the formation energy from raw total energies, the calculation gives -1937 meV per atom. The density of states at the Fermi level comes out at 0.00 states/eV/f.u. Its final energy is -5.710 eV/atom.


# 2
Computed, not measured: crystalline Cs3Sm3SbO8 at its relaxed geometry at the PBE level of DFT.

Cell: 7.131 7.132 8.139 Å, 116.00 90.00 120.00°
Positions (direct):
O1 0.206 0.411 0.657
O2 0.794 0.048 0.343
O3 0.721 0.441 0.661
O4 0.206 0.952 0.657
O5 0.254 0.048 0.343
O6 0.746 0.952 0.657
O7 0.794 0.589 0.343
O8 0.279 0.559 0.339
Cs1 0.500 0.500 0.000
Cs2 0.000 0.000 0.000
Cs3 0.000 0.500 0.000
Sb1 0.000 0.000 0.500
Sm1 0.500 0.500 0.500
Sm2 0.500 0.000 0.500
Sm3 0.000 0.500 0.500

For the formation energy from raw total energies, the calculation gives -2326 meV per atom. The density of states at the Fermi level comes out at 1.83 states/eV/f.u. Its final energy is -6.359 eV/atom.